[1]
This record from Alexandria via LeMat-Bulk describes crystalline CsTlIBr at its relaxed geometry. The functional is PBE.

Cell and atoms, written as CIF:
```
data_CsTlIBr
_chemical_formula_sum 'Cs3 Tl3 I3 Br3'
_symmetry_space_group_name_H-M 'R 3 m'
_symmetry_Int_Tables_number 160
_symmetry_space_group_name_Hall 'R 3 -2"'
_cell_length_a 5.0114
_cell_length_b 5.0114
_cell_length_c 26.3524
_cell_angle_alpha 90.00
_cell_angle_beta 90.00
_cell_angle_gamma 120.00
loop_
_atom_site_label
_atom_site_type_symbol
_atom_site_fract_x
_atom_site_fract_y
_atom_site_fract_z
_atom_site_occupancy
Cs1 Cs 0.0000 0.0000 0.0000 1
Tl1 Tl 0.0000 0.0000 0.1586 1
I1 I 0.0000 0.0000 0.5693 1
Br1 Br 0.0000 0.0000 0.7506 1
```

- N(E_F) (states/eV per cell) = 0.0
- ΔE_f (raw) (meV/atom) = -1186
- calculated density (g cm⁻³) = 4.73

=====

[2]
This record from Alexandria via LeMat-Bulk describes crystalline Cs3Tl2I5Br2 at its relaxed geometry. The functional is PBE.

Cell and atoms, written as CIF:
```
data_Cs3Tl2I5Br2
_chemical_formula_sum 'Cs6 Tl4 I10 Br4'
_symmetry_space_group_name_H-M 'I 4/m m m'
_symmetry_Int_Tables_number 139
_symmetry_space_group_name_Hall '-I 4 2'
_cell_length_a 6.2238
_cell_length_b 6.2238
_cell_length_c 31.0484
_cell_angle_alpha 90.00
_cell_angle_beta 90.00
_cell_angle_gamma 90.00
loop_
_atom_site_label
_atom_site_type_symbol
_atom_site_fract_x
_atom_site_fract_y
_atom_site_fract_z
_atom_site_occupancy
Cs1 Cs 0.0000 0.0000 0.0000 1
Cs2 Cs 0.0000 0.0000 0.1851 1
Tl1 Tl 0.0000 0.0000 0.3946 1
I1 I 0.0000 0.0000 0.5000 1
I2 I 0.0000 0.5000 0.1009 1
Br1 Br 0.0000 0.0000 0.2997 1
```

- N(E_F) (states/eV per cell) = 5.2
- ΔE_f (raw) (meV/atom) = -1026
- calculated density (g cm⁻³) = 4.42

=====

[3]
This record from Alexandria via LeMat-Bulk describes crystalline CsTlIBr at its relaxed geometry. The functional is PBE.

Cell and atoms, written as CIF:
```
data_CsTlIBr
_chemical_formula_sum 'Cs4 Tl4 I4 Br4'
_symmetry_space_group_name_H-M 'F -4 3 m'
_symmetry_Int_Tables_number 216
_symmetry_space_group_name_Hall 'F -4 2 3'
_cell_length_a 8.7071
_cell_length_b 8.7071
_cell_length_c 8.7071
_cell_angle_alpha 90.00
_cell_angle_beta 90.00
_cell_angle_gamma 90.00
loop_
_atom_site_label
_atom_site_type_symbol
_atom_site_fract_x
_atom_site_fract_y
_atom_site_fract_z
_atom_site_occupancy
Cs1 Cs 0.0000 0.0000 0.0000 1
Tl1 Tl 0.0000 0.0000 0.5000 1
I1 I 0.2500 0.2500 0.2500 1
Br1 Br 0.2500 0.2500 0.7500 1
```

- N(E_F) (states/eV per cell) = 0.0
- ΔE_f (raw) (meV/atom) = -1142
- calculated density (g cm⁻³) = 5.47

=====

[4]
This record from Alexandria via LeMat-Bulk describes crystalline CsUIBr3 at its relaxed geometry. The functional is PBE.

Cell and atoms, written as CIF:
```
data_CsUIBr3
_chemical_formula_sum 'Cs4 U4 I4 Br12'
_symmetry_space_group_name_H-M 'C m c m'
_symmetry_Int_Tables_number 63
_symmetry_space_group_name_Hall '-C 2c 2'
_cell_length_a 7.5144
_cell_length_b 26.6819
_cell_length_c 7.6612
_cell_angle_alpha 90.00
_cell_angle_beta 90.00
_cell_angle_gamma 90.00
loop_
_atom_site_label
_atom_site_type_symbol
_atom_site_fract_x
_atom_site_fract_y
_atom_site_fract_z
_atom_site_occupancy
Cs1 Cs 0.0000 0.2465 0.2500 1
U1 U 0.0000 0.4669 0.7500 1
I1 I 0.0000 0.2094 0.7500 1
Br1 Br 0.0000 0.3662 0.7500 1
Br2 Br 0.2421 0.0000 0.0000 1
```

- N(E_F) (states/eV per cell) = 11.8
- ΔE_f (raw) (meV/atom) = -1232
- calculated density (g cm⁻³) = 3.19

=====

[5]
This record from Alexandria via LeMat-Bulk describes crystalline Cs2UI3Br3 at its relaxed geometry. The functional is PBE.

Cell and atoms, written as CIF:
```
data_Cs2UI3Br3
_chemical_formula_sum 'Cs2 U1 I3 Br3'
_symmetry_space_group_name_H-M 'P -6 2 m'
_symmetry_Int_Tables_number 189
_symmetry_space_group_name_Hall 'P -6 -2'
_cell_length_a 9.5644
_cell_length_b 9.5644
_cell_length_c 4.5885
_cell_angle_alpha 90.00
_cell_angle_beta 90.00
_cell_angle_gamma 120.00
loop_
_atom_site_label
_atom_site_type_symbol
_atom_site_fract_x
_atom_site_fract_y
_atom_site_fract_z
_atom_site_occupancy
Cs1 Cs 0.3333 0.6667 0.0000 1
U1 U 0.0000 0.0000 0.5000 1
I1 I 0.0000 0.6542 0.5000 1
Br1 Br 0.0000 0.2088 0.0000 1
```

- N(E_F) (states/eV per cell) = 4.2
- ΔE_f (raw) (meV/atom) = -1273
- calculated density (g cm⁻³) = 5.14

=====

[6]
This record from Alexandria via LeMat-Bulk describes crystalline Cs2UI5Br at its relaxed geometry. The functional is PBE.

Cell and atoms, written as CIF:
```
data_Cs2UI5Br
_chemical_formula_sum 'Cs4 U2 I10 Br2'
_symmetry_space_group_name_H-M 'I 4 m m'
_symmetry_Int_Tables_number 107
_symmetry_space_group_name_Hall 'I 4 -2'
_cell_length_a 8.6374
_cell_length_b 8.6374
_cell_length_c 11.8942
_cell_angle_alpha 90.00
_cell_angle_beta 90.00
_cell_angle_gamma 90.00
loop_
_atom_site_label
_atom_site_type_symbol
_atom_site_fract_x
_atom_site_fract_y
_atom_site_fract_z
_atom_site_occupancy
Cs1 Cs 0.0000 0.5000 0.0000 1
U1 U 0.0000 0.0000 0.2470 1
I1 I 0.0000 0.0000 0.4996 1
I2 I 0.2477 0.2477 0.2502 1
Br1 Br 0.0000 0.0000 0.0156 1
```

- N(E_F) (states/eV per cell) = 14.7
- ΔE_f (raw) (meV/atom) = -1267
- calculated density (g cm⁻³) = 4.56